The following is a DFT calculation (PBE-GGA) of an optimized crystal structure of Y5Cd.

Geometry as POSCAR:
```
Y5Cd
1.0
6.441 0.000 0.000
-3.221 5.578 0.000
0.000 0.000 5.779
Y Cd
5 1
direct
0.000 0.500 0.000
0.333 0.667 0.500
0.500 0.000 0.000
0.500 0.500 0.000
0.667 0.333 0.500
0.000 0.000 0.500
```

Summary:
Spin magnetization in μB/f.u.: 0.0
DFT formation energy in meV per atom: 470

=====

The following is a DFT calculation (PBE-GGA) of an optimized crystal structure of NdSc2Se3.

Geometry as POSCAR:
```
NdSc2Se3
1.0
5.056 -6.437 0.000
5.056 6.437 0.000
0.000 0.000 5.736
Nd Sc Se
2 4 6
direct
0.093 0.907 0.750
0.907 0.093 0.250
0.323 0.323 0.000
0.323 0.323 0.500
0.677 0.677 0.000
0.677 0.677 0.500
0.048 0.267 0.750
0.267 0.048 0.250
0.395 0.605 0.250
0.605 0.395 0.750
0.733 0.952 0.750
0.952 0.733 0.250
```

Summary:
Spin magnetization in μB/f.u.: 0.0
Formation energy (no corrections) in eV per formula unit: -7.30

=====

The following is a DFT calculation (PBE-GGA) of an optimized crystal structure of EuHgTe.

Geometry as POSCAR:
```
EuHgTe
1.0
4.803 0.000 0.000
-2.402 4.160 0.000
0.000 0.000 5.108
Eu Hg Te
1 1 1
direct
0.000 0.000 0.000
0.667 0.333 0.343
0.333 0.667 0.673
```

Summary:
Spin magnetization in μB/f.u.: 7.0
Formation energy (no corrections) in eV per formula unit: -2.67

=====

The following is a DFT calculation (PBE-GGA) of an optimized crystal structure of BePb3.

Geometry as POSCAR:
```
BePb3
1.0
6.051 0.000 0.000
0.000 6.051 0.000
0.000 0.000 6.051
Be Pb
2 6
direct
0.000 0.000 0.000
0.500 0.500 0.500
0.000 0.250 0.500
0.000 0.750 0.500
0.250 0.500 0.000
0.500 0.000 0.250
0.500 0.000 0.750
0.750 0.500 0.000
```

Summary:
Spin magnetization in μB/f.u.: 0.0
DFT formation energy in meV per atom: 593

=====

The following is a DFT calculation (PBE-GGA) of an optimized crystal structure of SrZrHg.

Geometry as POSCAR:
```
SrZrHg
1.0
5.146 0.000 0.000
-2.573 4.456 0.000
0.000 0.000 3.842
Sr Zr Hg
1 1 1
direct
0.000 0.000 0.000
0.667 0.333 0.500
0.333 0.667 0.500
```

Summary:
Spin magnetization in μB/f.u.: 0.6
DFT formation energy in meV per atom: 177

=====

The following is a DFT calculation (PBE-GGA) of an optimized crystal structure of AgPt2Au5.

Geometry as POSCAR:
```
AgPt2Au5
1.0
-3.565 3.565 5.689
3.565 -3.565 5.689
3.565 3.565 -5.689
Ag Pt Au
2 4 10
direct
0.250 0.250 0.000
0.750 0.750 0.000
0.142 0.642 0.783
0.358 0.142 0.500
0.642 0.858 0.500
0.858 0.358 0.217
0.000 0.000 0.000
0.010 0.814 0.500
0.186 0.686 0.196
0.314 0.510 0.500
0.490 0.990 0.804
0.500 0.500 0.000
0.510 0.010 0.196
0.686 0.490 0.500
0.814 0.314 0.804
0.990 0.186 0.500
```

Summary:
Spin magnetization in μB/f.u.: 0.0
DFT formation energy in meV per atom: 111